1.
An optimized crystal structure of Ho2Co3Sn5, computed with GGA-PBE.

```
Ho2Co3Sn5
1.0
2.160 -12.970 0.000
2.160 12.970 0.000
0.000 0.000 7.055
Ho Co Sn
4 6 10
Cartesian
2.160 12.305 3.527
2.160 4.430 3.414
2.160 -4.430 6.941
2.160 -12.305 0.000
2.160 10.217 5.336
2.160 5.768 6.887
2.160 1.284 5.087
2.160 -1.284 1.560
2.160 -5.768 3.360
2.160 -10.217 1.809
2.160 10.537 0.888
2.160 7.668 4.876
2.160 7.474 1.870
2.160 3.142 7.030
2.160 1.231 2.361
2.160 -1.231 5.889
2.160 -3.142 3.503
2.160 -7.474 5.397
2.160 -7.668 1.349
2.160 -10.537 4.415
```

* crystal system: orthorhombic
* space-group type: No. 36

2.
An optimized crystal structure of VPt, computed with GGA-PBE.

```
VPt
1.0
13.283 0.000 0.000
0.000 2.709 0.000
0.000 0.000 4.773
V Pt
6 6
Cartesian
1.093 0.000 0.757
3.321 0.000 2.341
5.548 0.000 0.757
7.735 0.000 4.016
9.962 0.000 2.433
12.190 0.000 4.016
1.123 1.354 3.147
3.321 1.354 0.030
5.519 1.354 3.147
7.765 1.354 1.626
9.962 1.354 4.743
12.160 1.354 1.626
```

* crystal system: orthorhombic
* space-group type: No. 51

Number 1: DFT formation energy -0.379 eV per atom. Number 2: DFT formation energy -0.546 eV per atom.